[1]
The following is a PBE calculation of a geometry-optimized HfCoPb2 structure, from Alexandria.

It has space group I-42d (No. 122), with a = 7.724 Å, b = 7.724 Å, c = 5.906 Å, α = 90.00°, β = 90.00° and γ = 90.00°. The distinct sites, in fractional coordinates, are Hf at (0.000, 0.000, 0.000), Co at (0.000, 0.000, 0.500) and Pb at (0.201, 0.250, 0.625).

For the energy relative to the lowest polymorph listed for this composition, the calculation gives 0 meV/atom. The energy relative to the elements is 0.437 eV/atom.



[2]
The following is a PBE calculation of a geometry-optimized PmCo6 structure, from Alexandria.

It has space group Pnma (No. 62), with a = 7.891 Å, b = 4.867 Å, c = 9.892 Å, α = 90.00°, β = 90.00° and γ = 90.00°. The distinct sites, in fractional coordinates, are Pm at (0.238, 0.250, 0.058), Co at (0.068, 0.750, 0.096), Co at (0.069, 0.010, 0.308), Co at (0.091, 0.250, 0.523), Co at (0.143, 0.750, 0.853) and Co at (0.183, 0.250, 0.756).

For the energy relative to the lowest polymorph listed for this composition, the calculation gives 0 meV/atom. The energy relative to the elements is 0.001 eV/atom.



[3]
The following is a PBE calculation of a geometry-optimized BaCdBr3 structure, from Alexandria.

It has space group Pm-3m (No. 221), with a = 5.662 Å, b = 5.662 Å, c = 5.662 Å, α = 90.00°, β = 90.00° and γ = 90.00°. The distinct sites, in fractional coordinates, are Ba at (0.000, 0.000, 0.000), Cd at (0.500, 0.500, 0.500) and Br at (0.000, 0.500, 0.500).

The calculation puts the uncorrected formation energy at -1.156 eV per atom.



[4]
The following is a PBE calculation of a geometry-optimized Tm2Mn9Tc structure, from Alexandria.

It has space group C2/m (No. 12), with a = 10.188 Å, b = 4.743 Å, c = 8.574 Å, α = 90.00°, β = 122.03° and γ = 90.00°. The distinct sites, in fractional coordinates, are Tm at (0.204, 0.000, 0.091), Mn at (0.000, 0.500, 0.000), Mn at (0.037, 0.248, 0.269), Mn at (0.163, 0.000, 0.660), Mn at (0.245, 0.500, 0.548) and Tc at (0.000, 0.500, 0.500).

The energy relative to the elements is 0.149 eV/atom.



[5]
The following is a PBE calculation of a geometry-optimized Th2Sc structure, from Alexandria.

It has space group Fd-3m (No. 227, origin choice 2), with a = 9.188 Å, b = 9.188 Å, c = 9.188 Å, α = 90.00°, β = 90.00° and γ = 90.00°. The distinct sites, in fractional coordinates, are Th at (0.000, 0.000, 0.000) and Sc at (0.125, 0.125, 0.625).

For the energy relative to the lowest polymorph listed for this composition, the calculation gives 380 meV/atom. The energy relative to the elements is 0.418 eV/atom.



[6]
The following is a PBE calculation of a geometry-optimized BaSr2Cr structure, from Alexandria.

It has space group Fm-3m (No. 225), with a = 8.476 Å, b = 8.476 Å, c = 8.476 Å, α = 90.00°, β = 90.00° and γ = 90.00°. The distinct sites, in fractional coordinates, are Ba at (0.000, 0.000, 0.000), Sr at (0.250, 0.250, 0.250) and Cr at (0.000, 0.000, 0.500).

For the energy relative to the lowest polymorph listed for this composition, the calculation gives 673 meV/atom. The energy relative to the elements is 1.081 eV/atom.



[7]
The following is a PBE calculation of a geometry-optimized LiCaEuSn structure, from Alexandria.

It has space group F-43m (No. 216), with a = 7.735 Å, b = 7.735 Å, c = 7.735 Å, α = 90.00°, β = 90.00° and γ = 90.00°. The distinct sites, in fractional coordinates, are Li at (0.000, 0.000, 0.000), Ca at (0.250, 0.250, 0.750), Eu at (0.250, 0.250, 0.250) and Sn at (0.000, 0.000, 0.500).

The energy relative to the elements is -0.462 eV/atom.



[8]
The following is a PBE calculation of a geometry-optimized Li2ZrTa structure, from Alexandria.

It has space group Cmm2 (No. 35), with a = 3.670 Å, b = 4.406 Å, c = 9.923 Å, α = 90.00°, β = 90.00° and γ = 90.00°. The distinct sites, in fractional coordinates, are Li at (0.000, 0.000, 0.000), Li at (0.000, 0.500, 0.251), Zr at (0.000, 0.000, 0.524) and Ta at (0.000, 0.500, 0.754).

For the energy relative to the lowest polymorph listed for this composition, the calculation gives 0 meV/atom. The energy relative to the elements is 0.209 eV/atom.



[9]
The following is a PBE calculation of a geometry-optimized ZnCuAg2Cl6 structure, from Alexandria.

It has space group P1 (No. 1), with a = 6.593 Å, b = 6.654 Å, c = 6.972 Å, α = 105.27°, β = 93.86° and γ = 119.44°. The distinct sites, in fractional coordinates, are Zn at (0.000, 0.000, 0.000), Cu at (0.412, 0.962, 0.398), Ag at (0.194, 0.494, 0.679), Ag at (0.673, 0.446, 0.159), Cl at (0.107, 0.016, 0.344), Cl at (0.293, 0.978, 0.865), Cl at (0.445, 0.660, 0.424), Cl at (0.628, 0.643, 0.911), Cl at (0.759, 0.307, 0.435) and Cl at (0.970, 0.307, 0.942).

The calculation puts the uncorrected formation energy at -0.625 eV per atom.



[10]
The following is a PBE calculation of a geometry-optimized Ce2PaPdSe5 structure, from Alexandria.

It has space group Cmc2_1 (No. 36), with a = 4.036 Å, b = 17.276 Å, c = 12.605 Å, α = 90.00°, β = 90.00° and γ = 90.00°. The distinct sites, in fractional coordinates, are Ce at (0.000, 0.103, 0.000), Ce at (0.000, 0.121, 0.348), Pa at (0.000, 0.179, 0.668), Pd at (0.000, 0.437, 0.070), Se at (0.000, 0.017, 0.677), Se at (0.000, 0.299, 0.004), Se at (0.000, 0.308, 0.331), Se at (0.000, 0.345, 0.670) and Se at (0.000, 0.498, 0.393).

The calculation puts the uncorrected formation energy at -1.460 eV per atom.



[11]
The following is a PBE calculation of a geometry-optimized Zn2RhW structure, from Alexandria.

It has space group P4/mmm (No. 123), with a = 2.885 Å, b = 2.885 Å, c = 6.918 Å, α = 90.00°, β = 90.00° and γ = 90.00°. The distinct sites, in fractional coordinates, are Zn at (0.000, 0.000, 0.232), Rh at (0.500, 0.500, 0.000) and W at (0.500, 0.500, 0.500).

For the energy relative to the lowest polymorph listed for this composition, the calculation gives 170 meV/atom. The energy relative to the elements is 0.067 eV/atom.



[12]
The following is a PBE calculation of a geometry-optimized TmZr2Tl structure, from Alexandria.

It has space group R-3m (No. 166, hexagonal axes), with a = 3.1919 Å, b = 3.1919 Å, c = 34.6838 Å, α = 90.00°, β = 90.00° and γ = 120.00°. The distinct sites, in fractional coordinates, are Tm at (0.0000, 0.0000, 0.0000), Zr at (0.0000, 0.0000, 0.0910) and Tl at (0.0000, 0.0000, 0.5000).

For the energy relative to the lowest polymorph listed for this composition, the calculation gives 433 meV/atom. The energy relative to the elements is 0.282 eV/atom.



[13]
The following is a PBE calculation of a geometry-optimized ErScRu structure, from Alexandria.

It has space group Fdd2 (No. 43), with a = 11.412 Å, b = 11.484 Å, c = 8.500 Å, α = 90.00°, β = 90.00° and γ = 90.00°. The distinct sites, in fractional coordinates, are Er at (0.115, 0.325, 0.000), Sc at (0.053, 0.372, 0.602) and Ru at (0.057, 0.296, 0.311).

For the energy relative to the lowest polymorph listed for this composition, the calculation gives 145 meV/atom. The energy relative to the elements is -0.310 eV/atom.



[14]
The following is a PBE calculation of a geometry-optimized Dy5AlCd4 structure, from Alexandria.

It has space group P4/mmm (No. 123), with a = 3.707 Å, b = 3.707 Å, c = 18.673 Å, α = 90.00°, β = 90.00° and γ = 90.00°. The distinct sites, in fractional coordinates, are Dy at (0.000, 0.000, 0.000), Dy at (0.000, 0.000, 0.203), Dy at (0.000, 0.000, 0.406), Al at (0.500, 0.500, 0.500), Cd at (0.500, 0.500, 0.102) and Cd at (0.500, 0.500, 0.305).

The energy relative to the elements is -0.334 eV/atom.



[15]
The following is a PBE calculation of a geometry-optimized Zr3MnSi structure, from Alexandria.

It has space group Pm-3m (No. 221), with a = 4.744 Å, b = 4.744 Å, c = 4.744 Å, α = 90.00°, β = 90.00° and γ = 90.00°. The distinct sites, in fractional coordinates, are Zr at (0.000, 0.000, 0.500), Mn at (0.000, 0.000, 0.000) and Si at (0.500, 0.500, 0.500).

For the energy relative to the lowest polymorph listed for this composition, the calculation gives 0 meV/atom. The calculation puts the uncorrected formation energy at 0.331 eV per atom.



[16]
The following is a PBE calculation of a geometry-optimized Y3TaCd structure, from Alexandria.

It has space group Pm-3m (No. 221), with a = 5.477 Å, b = 5.477 Å, c = 5.477 Å, α = 90.00°, β = 90.00° and γ = 90.00°. The distinct sites, in fractional coordinates, are Y at (0.000, 0.000, 0.500), Ta at (0.000, 0.000, 0.000) and Cd at (0.500, 0.500, 0.500).

For the energy relative to the lowest polymorph listed for this composition, the calculation gives 0 meV/atom. The energy relative to the elements is 0.595 eV/atom.



[17]
The following is a PBE calculation of a geometry-optimized CoAsPt2 structure, from Alexandria.

It has space group I-42d (No. 122), with a = 3.806 Å, b = 3.806 Å, c = 17.601 Å, α = 90.00°, β = 90.00° and γ = 90.00°. The distinct sites, in fractional coordinates, are Co at (0.000, 0.000, 0.000), As at (0.000, 0.000, 0.500) and Pt at (0.247, 0.250, 0.125).

The energy relative to the elements is 0.100 eV/atom.



[18]
The following is a PBE calculation of a geometry-optimized SmEr2 structure, from Alexandria.

It has space group Immm (No. 71), with a = 3.416 Å, b = 5.830 Å, c = 9.831 Å, α = 90.00°, β = 90.00° and γ = 90.00°. The distinct sites, in fractional coordinates, are Sm at (0.000, 0.000, 0.000) and Er at (0.000, 0.500, 0.188).

For the energy relative to the lowest polymorph listed for this composition, the calculation gives 208 meV/atom. The energy relative to the elements is 0.202 eV/atom.



[19]
The following is a PBE calculation of a geometry-optimized TlCo2P structure, from Alexandria.

It has space group Fm-3m (No. 225), with a = 6.105 Å, b = 6.105 Å, c = 6.105 Å, α = 90.00°, β = 90.00° and γ = 90.00°. The distinct sites, in fractional coordinates, are Tl at (0.000, 0.000, 0.000), Co at (0.250, 0.250, 0.250) and P at (0.000, 0.000, 0.500).

The energy relative to the elements is 0.492 eV/atom.



Summary of calculated volume in Å³ per cell
352.41, 379.93, 181.54, 351.28, 775.71, 608.84, 462.84, 160.44, 249.81, 878.87, 57.59, 306.03, 1114.00, 256.54, 106.74, 164.30, 255.01, 195.81, 227.58
(order as listed above)